Record 1
VASP calculation (PBE) on an optimized crystal structure of LaTaTiN3.

Lattice parameters (Å, degrees): 6.8602 3.3542 7.7979 90.00 106.69 90.00
Element x y z (fractional)
La1 0.2008 0.2500 0.2053
La2 0.7992 0.7500 0.7947
Ta1 0.3589 0.7500 0.8791
Ta2 0.6411 0.2500 0.1209
Ti1 0.1239 0.2500 0.6085
Ti2 0.8761 0.7500 0.3915
N1 0.1252 0.2500 0.8642
N2 0.1974 0.7500 0.5147
N3 0.4609 0.7500 0.1679
N4 0.5391 0.2500 0.8321
N5 0.8026 0.2500 0.4853
N6 0.8748 0.7500 0.1358

## Properties
Formation energy from raw total energies, eV per atom: -1.14
D(E_F), states/eV per atom: 0.271
Final energy, eV/atom: -9.413
Space-group type: No. 11

Record 2
VASP calculation (PBE) on an optimized crystal structure of LaTaTlN2.

Lattice parameters (Å, degrees): 4.3580 4.3580 5.9159 90.00 90.00 90.00
Element x y z (fractional)
La1 0.0000 0.0000 0.0000
Ta1 0.5000 0.5000 0.0000
Tl1 0.0000 0.0000 0.5000
N1 0.0000 0.5000 0.5000
N2 0.5000 0.0000 0.5000

## Properties
Formation energy from raw total energies, eV per atom: 2.41
D(E_F), states/eV per atom: 1.004
Final energy, eV/atom: -4.748
Space-group type: No. 123

Record 3
VASP calculation (PBE) on an optimized crystal structure of LaTmTaN3.

Lattice parameters (Å, degrees): 7.4219 3.4409 8.1643 90.00 93.64 90.00
Element x y z (fractional)
La1 0.1618 0.2500 0.1722
La2 0.8382 0.7500 0.8278
Tm1 0.3843 0.7500 0.8561
Tm2 0.6157 0.2500 0.1439
Ta1 0.1273 0.2500 0.5804
Ta2 0.8727 0.7500 0.4196
N1 0.1541 0.2500 0.8249
N2 0.1655 0.7500 0.4518
N3 0.3927 0.7500 0.1238
N4 0.6073 0.2500 0.8762
N5 0.8345 0.2500 0.5482
N6 0.8459 0.7500 0.1751

## Properties
Formation energy from raw total energies, eV per atom: -1.14
D(E_F), states/eV per atom: 0.435
Final energy, eV/atom: -8.846
Space-group type: No. 11

Record 4
VASP calculation (PBE) on an optimized crystal structure of La3Tm2TaN6.

Lattice parameters (Å, degrees): 5.9700 5.9700 6.1711 99.25 99.25 119.96
Element x y z (fractional)
La1 0.0000 0.0000 0.0000
La2 0.3325 0.6675 0.0000
La3 0.6675 0.3325 0.0000
Tm1 0.1667 0.8333 0.5000
Tm2 0.8333 0.1667 0.5000
Ta1 0.5000 0.5000 0.5000
N1 0.1224 0.4299 0.2905
N2 0.2630 0.2630 0.7148
N3 0.4299 0.1224 0.2905
N4 0.5701 0.8776 0.7095
N5 0.7370 0.7370 0.2852
N6 0.8776 0.5701 0.7095

## Properties
Formation energy from raw total energies, eV per atom: -1.46
D(E_F), states/eV per atom: 0.209
Final energy, eV/atom: -8.584
Space-group type: No. 12

Record 5
VASP calculation (PBE) on an optimized crystal structure of La2UTaN6.

Lattice parameters (Å, degrees): 4.1710 4.1710 8.4238 90.00 90.00 90.00
Element x y z (fractional)
La1 0.0000 0.0000 0.2228
La2 0.0000 0.0000 0.7772
U1 0.5000 0.5000 0.5000
Ta1 0.5000 0.5000 0.0000
N1 0.0000 0.5000 0.0000
N2 0.0000 0.5000 0.5000
N3 0.5000 0.0000 0.0000
N4 0.5000 0.0000 0.5000
N5 0.5000 0.5000 0.2442
N6 0.5000 0.5000 0.7558

## Properties
Formation energy from raw total energies, eV per atom: -1.20
D(E_F), states/eV per atom: 0.415
Final energy, eV/atom: -9.496
Space-group type: No. 123

Record 6
VASP calculation (PBE) on an optimized crystal structure of La2TaVN5.

Lattice parameters (Å, degrees): 7.3225 7.3225 10.5013 90.00 90.00 153.54
Element x y z (fractional)
La1 0.1152 0.8848 0.5000
La2 0.1372 0.8628 0.1333
La3 0.8628 0.1372 0.6333
La4 0.8848 0.1152 0.0000
Ta1 0.2094 0.7906 0.8428
Ta2 0.7906 0.2094 0.3428
V1 0.4495 0.5505 0.2616
V2 0.5505 0.4495 0.7616
N1 0.0443 0.9557 0.8433
N2 0.2926 0.7074 0.4716
N3 0.3224 0.6776 0.2067
N4 0.3442 0.6558 0.8245
N5 0.4975 0.5025 0.6105
N6 0.5025 0.4975 0.1105
N7 0.6558 0.3442 0.3245
N8 0.6776 0.3224 0.7067
N9 0.7074 0.2926 0.9716
N10 0.9557 0.0443 0.3433

## Properties
Formation energy from raw total energies, eV per atom: -1.26
D(E_F), states/eV per atom: 0.294
Final energy, eV/atom: -9.306
Space-group type: No. 36

Question: Number 2 is which compound?
Answer: LaTaTlN2

Question: Among the records above, which one has the lowest formation energy from raw total energies?
Answer: La3Tm2TaN6

Question: The highest final energy belongs to which entry?
Answer: LaTaTlN2